Below is crystalline Tl2SnHgBr4 at its relaxed geometry, with properties calculated at the GGA-PBE level.

a = 14.3403 Å, b = 4.5037 Å, c = 9.5020 Å
α = 90.00°, β = 111.87°, γ = 90.00°
With the nearest neighbours (Å) after each atom.
Element x y z (fractional)
Tl 0.2017 0.0000 0.2072  4 Br 3.20-3.46
Tl 0.2983 0.5000 0.7928  4 Br 3.20-3.46
Tl 0.7017 0.5000 0.2072  4 Br 3.20-3.46
Tl 0.7983 0.0000 0.7928  4 Br 3.20-3.46
Sn 0.0000 0.0000 0.5000  6 Br 2.99-3.04
Sn 0.5000 0.5000 0.5000  6 Br 2.99-3.04
Hg 0.0000 0.5000 0.0000  4 Tl 3.62, 6 Br 3.84-3.89
Hg 0.5000 0.0000 0.0000  4 Tl 3.62, 6 Br 3.84-3.89
Br 0.1206 0.5000 0.4346  2 Sn 3.04
Br 0.1470 0.0000 0.8200  1 Sn 2.99, 2 Tl 3.20
Br 0.3530 0.5000 0.1800  1 Sn 2.99, 2 Tl 3.20
Br 0.3794 0.0000 0.5654  2 Sn 3.04
Br 0.6206 0.0000 0.4346  2 Sn 3.04
Br 0.6470 0.5000 0.8200  1 Sn 2.99, 2 Tl 3.20
Br 0.8530 0.0000 0.1800  1 Sn 2.99, 2 Tl 3.20
Br 0.8794 0.5000 0.5654  2 Sn 3.04

Calculated values
DFT total energy, eV for the cell shown: -42.72
SG: C2/m (12)
ΔE_f (raw), eV per atom: -0.704
N(E_F), states/eV per atom: 0.00